[1]
The following is a DFT calculation (GGA-PBE) of crystalline Pm4SiHg2 at its relaxed geometry.

Cell: 8.5242 8.5242 8.5242 Å, 142.18 142.18 54.55°
Last column: nearest neighbours and their distance in Å.
Fractional coordinates of all 7 atoms:
Pm 0.0000 0.5000 0.5000  2 Si 2.76
Pm 0.1868 0.1868 0.0000  1 Si 2.83, 1 Hg 3.03
Pm 0.5000 0.0000 0.5000  2 Si 2.76
Pm 0.8132 0.8132 0.0000  1 Si 2.83, 1 Hg 3.03
Si 0.0000 0.0000 0.0000  6 Pm 2.76-2.83
Hg 0.3865 0.3865 0.0000  5 Pm 3.03-3.25
Hg 0.6135 0.6135 0.0000  5 Pm 3.03-3.25

## Properties
E_form (uncorrected): -0.2214 eV/atom
space group: I4/mmm

[2]
The following is a DFT calculation (GGA-PBE) of crystalline AcP2 at its relaxed geometry.

Cell: 5.6595 5.6595 5.6595 Å, 60.00 60.00 60.00°
Last column: nearest neighbours and their distance in Å.
Fractional coordinates of all 6 atoms:
Ac 0.1250 0.1250 0.1250  12 P 3.32, 4 Ac 3.47
Ac 0.8750 0.8750 0.8750  12 P 3.32, 4 Ac 3.47
P 0.0000 0.5000 0.5000  6 P 2.83
P 0.5000 0.0000 0.5000  6 P 2.83
P 0.5000 0.5000 0.0000  6 P 2.83
P 0.5000 0.5000 0.5000  6 P 2.83

## Properties
E above lowest polymorph: 537 meV per atom
energy of formation: -32.5 kJ per mole of atoms
space group: Fd-3m

Please write out number 2 again, unchanged.
The following is a DFT calculation (GGA-PBE) of crystalline AcP2 at its relaxed geometry.

Cell: 5.6595 5.6595 5.6595 Å, 60.00 60.00 60.00°
Last column: nearest neighbours and their distance in Å.
Fractional coordinates of all 6 atoms:
Ac 0.1250 0.1250 0.1250  12 P 3.32, 4 Ac 3.47
Ac 0.8750 0.8750 0.8750  12 P 3.32, 4 Ac 3.47
P 0.0000 0.5000 0.5000  6 P 2.83
P 0.5000 0.0000 0.5000  6 P 2.83
P 0.5000 0.5000 0.0000  6 P 2.83
P 0.5000 0.5000 0.5000  6 P 2.83

## Properties
E above lowest polymorph: 537 meV per atom
energy of formation: -32.5 kJ per mole of atoms
space group: Fd-3m

Question: Which formula does entry 1 have?
Answer: Pm4SiHg2

Copy entry 2 word for word.
The following is a DFT calculation (GGA-PBE) of crystalline AcP2 at its relaxed geometry.

Cell: 5.6595 5.6595 5.6595 Å, 60.00 60.00 60.00°
Last column: nearest neighbours and their distance in Å.
Fractional coordinates of all 6 atoms:
Ac 0.1250 0.1250 0.1250  12 P 3.32, 4 Ac 3.47
Ac 0.8750 0.8750 0.8750  12 P 3.32, 4 Ac 3.47
P 0.0000 0.5000 0.5000  6 P 2.83
P 0.5000 0.0000 0.5000  6 P 2.83
P 0.5000 0.5000 0.0000  6 P 2.83
P 0.5000 0.5000 0.5000  6 P 2.83

## Properties
E above lowest polymorph: 537 meV per atom
energy of formation: -32.5 kJ per mole of atoms
space group: Fd-3m